1.
# PBE TlCuF3, relaxed
# Raw formation energy ... -1.53 eV/atom
data_TlCuF3
_symmetry_space_group_name_H-M 'C m c m'
_symmetry_Int_Tables_number 63
_symmetry_space_group_name_Hall '-C 2c 2'
_cell_length_a 5.784
_cell_length_b 14.953
_cell_length_c 5.164
_cell_angle_alpha 90.00
_cell_angle_beta 90.00
_cell_angle_gamma 90.00
loop_
_atom_site_label
_atom_site_type_symbol
_atom_site_fract_x
_atom_site_fract_y
_atom_site_fract_z
Tl1 Tl 0.000 0.170 0.250
Cu1 Cu 0.000 0.406 0.250
F1 F 0.000 0.500 0.000
F2 F 0.240 0.319 0.250


2.
# PBE UCo2NiH8, relaxed
# Total energy ... -0.3526 Ry/atom
data_UCo2NiH8
_symmetry_space_group_name_H-M 'P -3 m 1'
_symmetry_Int_Tables_number 164
_symmetry_space_group_name_Hall '-P 3 2"'
_cell_length_a 4.4440
_cell_length_b 4.4440
_cell_length_c 5.8092
_cell_angle_alpha 90.00
_cell_angle_beta 90.00
_cell_angle_gamma 120.00
loop_
_atom_site_label
_atom_site_type_symbol
_atom_site_fract_x
_atom_site_fract_y
_atom_site_fract_z
U1 U 0.0000 0.0000 0.0000
Co1 Co 0.3333 0.6667 0.1351
Ni1 Ni 0.0000 0.0000 0.5000
H1 H 0.1668 0.3337 0.3291
H2 H 0.3333 0.6667 0.8695


3.
# PBE Pr2GdBi, relaxed
# ΔE_f ... -0.426 eV per atom
data_Pr2GdBi
_symmetry_space_group_name_H-M 'P 4/m m m'
_symmetry_Int_Tables_number 123
_symmetry_space_group_name_Hall '-P 4 2'
_cell_length_a 5.015
_cell_length_b 5.015
_cell_length_c 4.975
_cell_angle_alpha 90.00
_cell_angle_beta 90.00
_cell_angle_gamma 90.00
loop_
_atom_site_label
_atom_site_type_symbol
_atom_site_fract_x
_atom_site_fract_y
_atom_site_fract_z
Pr1 Pr 0.000 0.500 0.000
Gd1 Gd 0.000 0.000 0.500
Bi1 Bi 0.500 0.500 0.500


4.
# PBE HfAg2AsO, relaxed
# Raw formation energy ... 0.59 eV/atom
data_HfAg2AsO
_symmetry_space_group_name_H-M 'P 4/m m m'
_symmetry_Int_Tables_number 123
_symmetry_space_group_name_Hall '-P 4 2'
_cell_length_a 4.713
_cell_length_b 4.713
_cell_length_c 5.142
_cell_angle_alpha 90.00
_cell_angle_beta 90.00
_cell_angle_gamma 90.00
loop_
_atom_site_label
_atom_site_type_symbol
_atom_site_fract_x
_atom_site_fract_y
_atom_site_fract_z
Hf1 Hf 0.000 0.000 0.000
Ag1 Ag 0.000 0.500 0.500
As1 As 0.000 0.000 0.500
O1 O 0.500 0.500 0.000


5.
# PBE Ga2H2Cl, relaxed
# Total energy ... -0.1890 Ry/atom
data_Ga2H2Cl
_symmetry_space_group_name_H-M 'P 4/m b m'
_symmetry_Int_Tables_number 127
_symmetry_space_group_name_Hall '-P 4 2ab'
_cell_length_a 6.887
_cell_length_b 6.887
_cell_length_c 3.026
_cell_angle_alpha 90.00
_cell_angle_beta 90.00
_cell_angle_gamma 90.00
loop_
_atom_site_label
_atom_site_type_symbol
_atom_site_fract_x
_atom_site_fract_y
_atom_site_fract_z
Ga1 Ga 0.142 0.358 0.000
H1 H 0.113 0.613 0.500
Cl1 Cl 0.000 0.000 0.500


6.
# PBE BaGaAg2Pd, relaxed
# ΔE_f ... -0.208 eV per atom
data_BaGaAg2Pd
_symmetry_space_group_name_H-M 'P 4/m m m'
_symmetry_Int_Tables_number 123
_symmetry_space_group_name_Hall '-P 4 2'
_cell_length_a 5.044
_cell_length_b 5.044
_cell_length_c 4.981
_cell_angle_alpha 90.00
_cell_angle_beta 90.00
_cell_angle_gamma 90.00
loop_
_atom_site_label
_atom_site_type_symbol
_atom_site_fract_x
_atom_site_fract_y
_atom_site_fract_z
Ba1 Ba 0.000 0.000 0.000
Ga1 Ga 0.500 0.500 0.500
Ag1 Ag 0.000 0.500 0.500
Pd1 Pd 0.500 0.500 0.000